The following is a DFT calculation (GGA-PBE) of a geometry-optimized K2BBr structure.

Unit cell a=7.405 b=7.405 c=7.405 alpha=110.06 beta=110.06 gamma=108.29
Atoms (fractional coordinates):
1 K 0.118 0.625 0.993
2 K 0.375 0.368 0.493
3 K 0.632 0.125 0.007
4 K 0.875 0.882 0.507
5 B 0.000 0.000 0.000
6 B 0.750 0.250 0.500
7 Br 0.250 0.750 0.500
8 Br 0.500 0.500 0.000

Properties
**Uncorrected formation energy**: 0.29 eV/atom
**Energy above the most stable polymorph in this dataset**: 0.005 eV per atom
**Crystal system**: tetragonal
**Density**: 1.80 g cm⁻³